[1]
A geometry-optimized ReSiPd2Ru structure, computed with PBE-GGA.

Unit cell a=4.8168 b=4.8168 c=4.3413 alpha=90.00 beta=90.00 gamma=90.00
Positions (direct):
Re  0.0000  0.0000  0.0000
Si  0.5000  0.5000  0.0000
Pd  0.0000  0.5000  0.5000
Pd  0.5000  0.0000  0.5000
Ru  0.5000  0.5000  0.5000

Calculated values
The uncorrected formation energy is 1616 meV/atom. The value obtained for the total magnetization is 4.5 Bohr magnetons per cell.



[2]
A geometry-optimized KBi2Cl structure, computed with PBE-GGA.

Unit cell a=5.6452 b=5.6452 c=5.6452 alpha=60.00 beta=60.00 gamma=60.00
Positions (direct):
K  0.0000  0.0000  0.0000
Bi  0.2500  0.2500  0.2500
Bi  0.7500  0.7500  0.7500
Cl  0.5000  0.5000  0.5000

Calculated values
The uncorrected formation energy is 71 meV/atom. The value obtained for the total magnetization is 0.0 Bohr magnetons per cell.



Question: Among the records above, which one has the lowest total magnetization?
Answer: KBi2Cl



Question: Which formula does entry 2 have?
Answer: KBi2Cl



Question: Among the records above, which one has the lowest uncorrected formation energy?
Answer: KBi2Cl